Crystalline YHo2Au2 at its relaxed geometry. Source: Alexandria, functional PBE-GGA.

abc: 8.179 8.179 3.763
angles: 90.00 90.00 90.00
Space group P4/mbm (No. 127)
Unique sites:
Y (0.000, 0.000, 0.000) (multiplicity 2)
Ho (0.162, 0.338, 0.500) (multiplicity 4)
Au (0.133, 0.633, 0.000) (multiplicity 4)

Summary:
The formation energy comes out at -0.711 eV/atom. The calculation puts the total energy at -51.5 eV/cell.

Crystalline Zr2TiRu3 at its relaxed geometry. Source: Alexandria, functional PBE-GGA.

abc: 3.204 3.204 9.710
angles: 90.00 90.00 90.00
Space group P4/mmm (No. 123)
Unique sites:
Zr (0.000, 0.000, 0.172) (multiplicity 2)
Ti (0.000, 0.000, 0.500) (multiplicity 1)
Ru (0.500, 0.500, 0.000) (multiplicity 1)
Ru (0.500, 0.500, 0.346) (multiplicity 2)

Summary:
The formation energy comes out at -0.650 eV/atom. The calculation puts the total energy at -56.7 eV/cell.

Crystalline Th2ZnOs2 at its relaxed geometry. Source: Alexandria, functional PBE-GGA.

abc: 10.090 5.547 8.274
angles: 90.00 108.53 90.00
Space group C2/c (No. 15)
Unique sites:
Th (0.146, 0.157, 0.146) (multiplicity 8)
Zn (0.000, 0.365, 0.750) (multiplicity 4)
Os (0.138, 0.344, 0.529) (multiplicity 8)

Summary:
The formation energy comes out at -0.326 eV/atom. The calculation puts the total energy at -160.8 eV/cell.

Which of these has the highest total energy?
YHo2Au2